(one)
ZrAsBr2F | PBE | optimized geometry

Lattice parameters (Å, degrees): 5.2606 5.2606 3.9182 90.00 90.00 90.00
Positions (direct):
1 As 0.0000 0.0000 0.5000
2 Br 0.0000 0.5000 0.0000
3 Br 0.5000 0.0000 0.0000
4 Zr 0.5000 0.5000 0.5000
5 F 0.0000 0.0000 0.0000

D(E_F)   1.090 states/eV per atom
Total magnetic moment   0.0 μB/cell

---

(two)
ZrAsBr2F | PBE | optimized geometry

Lattice parameters (Å, degrees): 5.2152 5.2152 5.3645 90.00 90.00 90.00
Positions (direct):
1 As 0.0000 0.0000 0.5000
2 Br 0.0000 0.5000 0.0000
3 Br 0.5000 0.0000 0.0000
4 Zr 0.0000 0.0000 0.0000
5 F 0.5000 0.5000 0.5000

D(E_F)   1.137 states/eV per atom
Total magnetic moment   0.8 μB/cell

---

Computed relative energies in units of eV/atom: (one) 0.424; (two) 0.000

---

(one)
Ir2RuPt | PBE | optimized geometry

Lattice parameters (Å, degrees): 2.6902 4.7597 4.7069 90.00 90.00 90.00
Positions (direct):
1 Ir 0.0000 0.0000 0.0000
2 Ir 0.5000 0.5000 0.0000
3 Pt 0.5000 0.0000 0.5000
4 Ru 0.0000 0.5000 0.5000

D(E_F)   1.630 states/eV per atom
Total magnetic moment   0.6 μB/cell

---

(two)
Ir2RuPt | PBE | optimized geometry

Lattice parameters (Å, degrees): 4.4157 4.4157 4.4157 60.00 60.00 60.00
Positions (direct):
1 Ir 0.0000 0.0000 0.0000
2 Ir 0.2500 0.2500 0.2500
3 Pt 0.5000 0.5000 0.5000
4 Ru 0.7500 0.7500 0.7500

D(E_F)   1.639 states/eV per atom
Total magnetic moment   2.5 μB/cell

---

Computed relative energies in units of eV/atom: (one) 0.000; (two) 0.178

---

(one)
AgPPd3 | PBE | optimized geometry

Lattice parameters (Å, degrees): 5.9066 5.9066 11.1342 78.19 78.19 59.78
Positions (direct):
1 Ag 0.7174 0.4566 0.8701
2 Ag 0.5434 0.2826 0.6299
3 Ag 0.2826 0.5434 0.1299
4 Ag 0.4566 0.7174 0.3701
5 P 0.0000 0.5000 0.5000
6 P 0.5000 0.0000 0.0000
7 P 0.7282 0.2718 0.2500
8 P 0.2718 0.7282 0.7500
9 Pd 0.7977 0.9183 0.8273
10 Pd 0.0817 0.2023 0.6727
11 Pd 0.2023 0.0817 0.1727
12 Pd 0.9183 0.7977 0.3273
13 Pd 0.5907 0.7722 0.6009
14 Pd 0.2278 0.4093 0.8991
15 Pd 0.4093 0.2278 0.3991
16 Pd 0.7722 0.5907 0.1009
17 Pd 0.2195 0.9326 0.9160
18 Pd 0.0674 0.7805 0.5840
19 Pd 0.9326 0.2195 0.4160
20 Pd 0.7805 0.0674 0.0840

D(E_F)   0.306 states/eV per atom
Total magnetic moment   0.0 μB/cell

---

(two)
AgPPd3 | PBE | optimized geometry

Lattice parameters (Å, degrees): 4.9610 6.1874 6.1870 120.00 90.00 90.00
Positions (direct):
1 Ag 0.7500 0.6667 0.3334
2 Ag 0.2500 0.3333 0.6667
3 P 0.0000 0.0000 0.0000
4 P 0.5000 0.0000 0.0000
5 Pd 0.7500 0.6313 0.8156
6 Pd 0.2500 0.8156 0.6313
7 Pd 0.2500 0.3687 0.1844
8 Pd 0.7500 0.1844 0.3687
9 Pd 0.2500 0.8156 0.1843
10 Pd 0.7500 0.1844 0.8157

D(E_F)   0.319 states/eV per atom
Total magnetic moment   0.0 μB/cell

---

Computed relative energies in units of eV/atom: (one) 0.000; (two) 0.162

---

(one)
CrAs2Pt | PBE | optimized geometry

Lattice parameters (Å, degrees): 4.4234 4.4234 4.4234 60.00 60.00 60.00
Positions (direct):
1 Cr 0.0000 0.0000 0.0000
2 As 0.2500 0.2500 0.2500
3 As 0.7500 0.7500 0.7500
4 Pt 0.5000 0.5000 0.5000

D(E_F)   1.482 states/eV per atom
Total magnetic moment   0.0 μB/cell

---

(two)
CrAs2Pt | PBE | optimized geometry

Lattice parameters (Å, degrees): 4.4016 4.4016 4.8321 76.37 76.37 44.59
Positions (direct):
1 As 0.0002 0.0002 0.9891
2 As 0.2318 0.2318 0.3710
3 Cr 0.5205 0.5205 0.3646
4 Pt 0.7475 0.7475 0.7753

D(E_F)   0.359 states/eV per atom
Total magnetic moment   0.0 μB/cell

---

Computed relative energies in units of eV/atom: (one) 0.294; (two) 0.000